# 1
Material: BaYTe2F
Method: DFT, PBE-GGA
State: optimized geometry

Calculated values
Energy relative to the elements, uncorrected   -2.1808 eV/atom
Crystal system   tetragonal
Distance to the lowest polymorph of the same formula   0.057 eV/atom

Cell: 4.461 4.461 15.840 Å, 90.00 90.00 90.00°
Element x y z (fractional)
Ba (0.250, 0.250, 0.096)
Ba (0.750, 0.750, 0.904)
Y (0.250, 0.250, 0.615)
Y (0.750, 0.750, 0.385)
Te (0.250, 0.250, 0.410)
Te (0.250, 0.250, 0.795)
Te (0.750, 0.750, 0.205)
Te (0.750, 0.750, 0.590)
F (0.250, 0.750, 0.000)
F (0.750, 0.250, 0.000)

# 2
Material: BaTh2F11
Method: DFT, PBE-GGA
State: optimized geometry

Calculated values
Energy relative to the elements, uncorrected   -3.7379 eV/atom
Crystal system   orthorhombic

Cell: 9.397 9.397 9.397 Å, 124.50 106.55 98.56°
Element x y z (fractional)
Ba (0.250, 0.250, 0.000)
Ba (0.750, 0.750, 0.000)
Th (0.181, 0.639, 0.819)
Th (0.319, 0.139, 0.458)
Th (0.681, 0.861, 0.542)
Th (0.819, 0.361, 0.181)
F (0.000, 0.500, 0.500)
F (0.051, 0.366, 0.161)
F (0.053, 0.969, 0.286)
F (0.183, 0.469, 0.916)
F (0.204, 0.890, 0.839)
F (0.218, 0.373, 0.591)
F (0.282, 0.873, 0.155)
F (0.296, 0.134, 0.685)
F (0.317, 0.233, 0.286)
F (0.447, 0.733, 0.916)
F (0.449, 0.610, 0.315)
F (0.500, 0.000, 0.500)
F (0.551, 0.390, 0.685)
F (0.553, 0.267, 0.084)
F (0.683, 0.767, 0.714)
F (0.704, 0.866, 0.315)
F (0.718, 0.127, 0.845)
F (0.782, 0.627, 0.409)
F (0.796, 0.110, 0.161)
F (0.817, 0.531, 0.084)
F (0.947, 0.031, 0.714)
F (0.949, 0.634, 0.839)

# 3
Material: Ba2ThF8
Method: DFT, PBE-GGA
State: optimized geometry

Calculated values
Energy relative to the elements, uncorrected   -3.9968 eV/atom
Crystal system   orthorhombic

Cell: 8.566 8.566 8.566 Å, 151.17 141.46 48.84°
Element x y z (fractional)
Ba (0.175, 0.175, 0.000)
Ba (0.825, 0.825, 0.000)
Th (0.500, 0.500, 0.000)
F (0.137, 0.387, 0.750)
F (0.277, 0.777, 0.500)
F (0.278, 0.000, 0.278)
F (0.362, 0.613, 0.750)
F (0.638, 0.387, 0.250)
F (0.722, 0.000, 0.722)
F (0.723, 0.223, 0.500)
F (0.863, 0.613, 0.250)